ErTm6Ni2S2: optimized geometry, PBE.

Lattice parameters (Å, degrees): 8.766 8.766 8.766 155.56 67.68 118.00
Fractional coordinates of all 11 atoms:
Tm 0.739 0.057 0.683
Tm 0.374 0.057 0.317
Tm 0.142 0.263 0.879
Tm 0.784 0.420 0.364
Tm 0.384 0.263 0.121
Tm 0.057 0.420 0.636
Er 0.673 0.673 0.000
Ni 0.514 0.753 0.761
Ni 0.992 0.753 0.239
S 0.015 0.015 0.000
S 0.419 0.919 0.500


Er3Tm4Ni2S2: optimized geometry, PBE.

Lattice parameters (Å, degrees): 8.822 8.822 8.822 155.68 67.48 118.15
Fractional coordinates of all 11 atoms:
S 0.418 0.918 0.500
S 0.015 0.015 0.000
Tm 0.145 0.265 0.880
Tm 0.053 0.419 0.634
Tm 0.786 0.419 0.366
Tm 0.384 0.265 0.120
Er 0.743 0.057 0.686
Er 0.372 0.057 0.314
Er 0.666 0.666 0.000
Ni 0.996 0.756 0.240
Ni 0.516 0.756 0.760


Er6TmNi2S2: optimized geometry, PBE.

Lattice parameters (Å, degrees): 8.833 8.833 8.833 155.70 67.51 118.11
Fractional coordinates of all 11 atoms:
S 0.014 0.014 0.000
S 0.421 0.921 0.500
Er 0.053 0.419 0.634
Er 0.785 0.419 0.366
Er 0.385 0.265 0.120
Er 0.743 0.058 0.685
Er 0.145 0.265 0.880
Er 0.372 0.058 0.315
Ni 0.516 0.756 0.760
Ni 0.996 0.756 0.240
Tm 0.666 0.666 0.000


YEr2Tm4Ni2S2: optimized geometry, PBE.

Lattice parameters (Å, degrees): 8.835 8.835 8.835 155.57 67.39 118.30
Fractional coordinates of all 11 atoms:
Tm 0.416 0.101 0.315
Tm 0.773 0.893 0.880
Tm 0.786 0.101 0.685
Tm 0.013 0.893 0.120
S 0.143 0.143 0.000
S 0.741 0.241 0.500
Er 0.102 0.737 0.365
Er 0.372 0.737 0.635
Ni 0.163 0.404 0.759
Ni 0.645 0.404 0.241
Y 0.491 0.491 0.000


Y3Er4Ni2S2: optimized geometry, PBE.

Lattice parameters (Å, degrees): 8.887 8.887 8.887 155.63 67.43 118.22
Fractional coordinates of all 11 atoms:
Y 0.494 0.494 0.000
Y 0.373 0.738 0.635
Y 0.104 0.738 0.365
Er 0.773 0.892 0.881
Er 0.012 0.892 0.119
Er 0.414 0.100 0.314
Er 0.785 0.100 0.686
Ni 0.647 0.405 0.242
Ni 0.163 0.405 0.758
S 0.740 0.240 0.500
S 0.141 0.141 0.000


YEr6Ni2S2: optimized geometry, PBE.

Lattice parameters (Å, degrees): 8.871 8.871 8.871 155.64 67.32 118.33
Fractional coordinates of all 11 atoms:
Er 0.013 0.893 0.119
Er 0.774 0.893 0.881
Er 0.787 0.100 0.686
Er 0.414 0.100 0.314
Er 0.104 0.738 0.366
Er 0.372 0.738 0.634
Y 0.492 0.492 0.000
Ni 0.644 0.403 0.241
Ni 0.162 0.403 0.759
S 0.740 0.240 0.500
S 0.145 0.145 0.000


no.,total energy (eV per atom)
1,-5.481
2,-5.495
3,-5.516
4,-5.675
5,-6.047
6,-5.702